w:
# GdZrW

A geometry-optimized GdZrW structure (PBE, OQMD).

- crystal system = cubic
- M_tot (μB/atom) = 0.0029
- density (g/cm3) = 9.74

```
GdZrW
1.0
-2.618 -2.999 2.509
-2.989 1.634 3.247
-4.641 -0.255 -0.734
Gd Zr W
1 1 1
direct
0.000 0.000 0.000
0.750 0.750 0.750
0.250 0.250 0.250
```

x:
# GdZrW

A geometry-optimized GdZrW structure (PBE, OQMD).

- crystal system = cubic
- M_tot (μB/atom) = 0.0115
- density (g/cm3) = 9.66

```
GdZrW
1.0
0.000 3.337 3.337
3.337 0.000 3.337
3.337 3.337 0.000
Zr W Gd
1 1 1
direct
0.000 0.000 0.000
0.750 0.750 0.750
0.250 0.250 0.250
```

Name the least stable of them. w.

w:
# Gd2Y

A geometry-optimized Gd2Y structure (PBE, OQMD).

- crystal system = cubic
- M_tot (μB/atom) = 0.0103
- density (g/cm3) = 6.65

```
Gd2Y
1.0
-1.167 3.456 5.477
-6.174 0.806 2.129
-2.025 -3.069 5.458
Y Gd
2 4
direct
0.000 0.000 0.000
0.250 0.250 0.250
0.625 0.625 0.625
0.625 0.625 0.125
0.625 0.125 0.625
0.125 0.625 0.625
```

x:
# Gd2Y

A geometry-optimized Gd2Y structure (PBE, OQMD).

- crystal system = cubic
- M_tot (μB/atom) = 0.0150
- density (g/cm3) = 2.68

```
Gd2Y
1.0
4.455 2.572 7.274
-4.455 2.572 7.274
0.000 -5.144 7.274
Y Gd
2 4
direct
0.250 0.250 0.250
0.500 0.500 0.500
0.375 0.375 0.375
0.375 0.375 0.875
0.375 0.875 0.375
0.875 0.375 0.375
```

Name the least stable of them. x.

w:
# GdY

A geometry-optimized GdY structure (PBE, OQMD).

- crystal system = cubic
- M_tot (μB/atom) = 0.0016
- density (g/cm3) = 4.91

```
GdY
1.0
0.000 3.465 3.465
3.465 0.000 3.465
3.465 3.465 0.000
Y Gd
1 1
direct
0.250 0.250 0.250
0.000 0.000 0.000
```

x:
# GdY

A geometry-optimized GdY structure (PBE, OQMD).

- crystal system = cubic
- M_tot (μB/atom) = 0.6298
- density (g/cm3) = 5.95

```
GdY
1.0
0.000 3.250 3.250
3.250 0.000 3.250
3.250 3.250 0.000
Gd Y
1 1
direct
0.000 0.000 0.000
0.500 0.500 0.500
```

y:
# GdY

A geometry-optimized GdY structure (PBE, OQMD).

- crystal system = hexagonal
- M_tot (μB/atom) = 0.0058
- density (g/cm3) = 6.27

```
GdY
1.0
-0.147 0.856 3.532
-0.783 -3.382 -1.086
5.474 -1.453 0.579
Y Gd
1 1
direct
0.333 0.667 0.250
0.667 0.333 0.750
```

Name the least stable of them. w.

w:
# GdZr2

A geometry-optimized GdZr2 structure (PBE, OQMD).

- crystal system = cubic
- M_tot (μB/atom) = 0.0095
- density (g/cm3) = 2.76

```
GdZr2
1.0
4.165 2.405 6.802
-4.165 2.405 6.802
0.000 -4.810 6.802
Zr Gd
4 2
direct
0.375 0.875 0.375
0.375 0.375 0.875
0.875 0.375 0.375
0.375 0.375 0.375
0.500 0.500 0.500
0.250 0.250 0.250
```

x:
# GdZr2

A geometry-optimized GdZr2 structure (PBE, OQMD).

- crystal system = hexagonal
- M_tot (μB/atom) = 0.0024
- density (g/cm3) = 7.30

```
GdZr2
1.0
2.899 5.022 0.000
-2.899 5.022 0.000
0.000 0.000 5.308
Gd Zr
2 4
direct
0.333 0.333 0.000
0.000 0.000 0.000
0.667 0.979 0.500
0.354 0.667 0.500
0.979 0.354 0.500
0.667 0.667 0.000
```

y:
# GdZr2

A geometry-optimized GdZr2 structure (PBE, OQMD).

- crystal system = orthorhombic
- M_tot (μB/atom) = 0.0008
- density (g/cm3) = 7.24

```
GdZr2
1.0
-9.048 9.745 11.625
-0.012 -2.542 2.122
4.574 1.735 2.106
Gd Zr
4 8
direct
0.281 0.500 0.500
0.165 0.500 0.000
0.780 0.000 0.500
0.664 0.000 0.000
0.947 0.500 0.500
0.497 0.500 0.000
0.347 0.000 0.000
0.598 0.500 0.500
0.098 0.000 0.500
0.847 0.500 0.000
0.997 0.000 0.000
0.447 0.000 0.500
```

Name the least stable of them. w.

w:
# Gd2Zr

A geometry-optimized Gd2Zr structure (PBE, OQMD).

- crystal system = cubic
- M_tot (μB/atom) = 0.5022
- density (g/cm3) = 6.63

```
Gd2Zr
1.0
0.000 3.704 3.704
3.704 0.000 3.704
3.704 3.704 0.000
Gd Zr
2 1
direct
0.250 0.250 0.250
0.750 0.750 0.750
0.000 0.000 0.000
```

x:
# Gd2Zr

A geometry-optimized Gd2Zr structure (PBE, OQMD).

- crystal system = orthorhombic
- M_tot (μB/atom) = 0.0004
- density (g/cm3) = 7.86

```
Gd2Zr
1.0
1.764 3.470 -6.669
-3.843 0.924 6.635
3.943 1.881 2.022
Gd Zr
4 2
direct
0.750 0.250 0.750
0.250 0.750 0.250
0.579 0.421 0.250
0.421 0.579 0.750
0.076 0.924 0.750
0.924 0.076 0.250
```

Name the least stable of them. w.

w:
# Gd2Zr

A geometry-optimized Gd2Zr structure (PBE, OQMD).

- crystal system = cubic
- M_tot (μB/atom) = 0.4711
- density (g/cm3) = 7.66

```
Gd2Zr
1.0
0.000 4.446 4.446
4.446 0.000 4.446
4.446 4.446 0.000
Gd Zr
4 2
direct
0.625 0.625 0.625
0.625 0.125 0.625
0.125 0.625 0.625
0.625 0.625 0.125
0.250 0.250 0.250
0.000 0.000 0.000
```

x:
# Gd2Zr

A geometry-optimized Gd2Zr structure (PBE, OQMD).

- crystal system = cubic
- M_tot (μB/atom) = 0.0118
- density (g/cm3) = 3.04

```
Gd2Zr
1.0
4.281 2.471 6.990
-4.281 2.471 6.990
0.000 -4.943 6.990
Gd Zr
4 2
direct
0.500 0.000 0.000
0.000 0.500 0.000
0.000 0.000 0.500
0.000 0.000 0.000
0.125 0.125 0.125
0.875 0.875 0.875
```

Name the least stable of them. x.

w:
# LuGeHO4

A geometry-optimized LuGeHO4 structure (PBE, OQMD).

- crystal system = monoclinic
- M_tot (μB/atom) = 0.0000
- density (g/cm3) = 7.10

```
LuGeHO4
1.0
5.082 0.000 0.114
0.000 6.438 0.000
-0.703 0.000 4.454
O Ge Lu H
8 2 2 2
direct
0.898 0.455 0.722
0.102 0.545 0.278
0.352 0.250 0.634
0.102 0.955 0.278
0.355 0.750 0.821
0.645 0.250 0.179
0.648 0.750 0.366
0.898 0.045 0.722
0.677 0.250 0.570
0.323 0.750 0.430
0.799 0.750 0.945
0.201 0.250 0.055
0.000 0.500 0.500
0.000 0.000 0.500
```

x:
# LuGeHO4

A geometry-optimized LuGeHO4 structure (PBE, OQMD).

- crystal system = monoclinic
- M_tot (μB/atom) = 0.0000
- density (g/cm3) = 6.52

```
LuGeHO4
1.0
-6.147 3.209 -3.355
-3.896 -2.364 4.877
3.024 4.091 4.399
H O Lu Ge
4 16 4 4
direct
0.477 0.307 0.389
0.523 0.807 0.111
0.477 0.193 0.889
0.523 0.693 0.611
0.105 0.321 0.048
0.180 0.920 0.268
0.478 0.306 0.796
0.820 0.080 0.732
0.478 0.194 0.296
0.721 0.048 0.068
0.105 0.179 0.548
0.522 0.694 0.204
0.279 0.548 0.432
0.279 0.952 0.932
0.820 0.420 0.232
0.895 0.679 0.952
0.522 0.806 0.704
0.721 0.452 0.568
0.895 0.821 0.452
0.180 0.580 0.768
0.202 0.642 0.097
0.202 0.858 0.597
0.798 0.358 0.903
0.798 0.142 0.403
0.758 0.895 0.876
0.758 0.605 0.376
0.242 0.105 0.124
0.242 0.395 0.624
```

y:
# LuGeHO4

A geometry-optimized LuGeHO4 structure (PBE, OQMD).

- crystal system = monoclinic
- M_tot (μB/atom) = 0.0000
- density (g/cm3) = 6.45

```
LuGeHO4
1.0
-1.868 6.457 0.919
-3.127 -0.139 -5.378
-6.033 -3.099 3.588
O Lu H Ge
16 4 4 4
direct
0.248 0.518 0.063
0.658 0.091 0.109
0.652 0.825 0.705
0.047 0.640 0.685
0.953 0.140 0.815
0.348 0.325 0.795
0.752 0.482 0.937
0.348 0.175 0.295
0.047 0.860 0.185
0.342 0.909 0.891
0.658 0.409 0.609
0.752 0.018 0.437
0.652 0.675 0.205
0.953 0.360 0.315
0.342 0.591 0.391
0.248 0.982 0.563
0.353 0.853 0.167
0.647 0.353 0.333
0.353 0.647 0.667
0.647 0.147 0.833
0.278 0.076 0.461
0.722 0.924 0.539
0.278 0.424 0.961
0.722 0.576 0.039
0.815 0.597 0.735
0.815 0.903 0.235
0.185 0.403 0.265
0.185 0.097 0.765
```

Name the least stable of them. w.

w:
# LuGeH2O4

A geometry-optimized LuGeH2O4 structure (PBE, OQMD).

- crystal system = orthorhombic
- M_tot (μB/atom) = 0.0001
- density (g/cm3) = 6.18

```
LuGeH2O4
1.0
0.546 -4.757 3.667
3.281 -0.793 -4.998
1.965 4.920 2.871
Lu H O Ge
2 4 8 2
direct
0.528 0.528 0.000
0.278 0.778 0.500
0.937 0.355 0.992
0.363 0.945 0.008
0.105 0.187 0.492
0.695 0.613 0.508
0.984 0.852 0.240
0.134 0.361 0.627
0.256 0.984 0.873
0.494 0.862 0.260
0.612 0.744 0.760
0.734 0.506 0.373
0.602 0.234 0.740
0.111 0.384 0.127
0.733 0.233 0.500
0.983 0.983 0.000
```

x:
# LuGeH2O4

A geometry-optimized LuGeH2O4 structure (PBE, OQMD).

- crystal system = tetragonal
- M_tot (μB/atom) = 0.0002
- density (g/cm3) = 5.97

```
LuGeH2O4
1.0
-3.298 -3.298 -4.013
-3.298 3.298 4.013
3.298 3.298 -4.013
Lu O Ge H
2 8 2 4
direct
0.250 0.500 0.750
0.500 0.000 0.500
0.973 0.173 0.792
0.208 0.181 0.381
0.777 0.319 0.450
0.131 0.681 0.458
0.200 0.819 0.027
0.619 0.827 0.800
0.542 0.673 0.223
0.550 0.327 0.869
0.750 0.500 0.250
0.000 0.000 0.000
0.233 0.000 0.233
0.517 0.500 0.017
0.767 0.000 0.767
0.983 0.500 0.483
```

Name the least stable of them. x.